1.
Here is KTcSeBr2 at its PBEsol-relaxed geometry from the Alexandria database. Energies are from SCAN.

Properties
E_form (uncorrected), eV per atom: 0.714

Cell and atoms, written as extended XYZ:
```
5
Lattice="-4.6122 -1.5665 2.7123 0.6853 -5.2155 -1.8470 3.0809 -1.2042 4.5434" Properties=species:S:1:pos:R:3 pbc="T T T"
Se 1.5404 -0.6021 2.2717
K 0.0000 0.0000 0.0000
Tc -0.4230 -3.9931 2.7044
Br -2.3061 -0.7833 1.3562
Br 0.3426 -2.6078 -0.9235
```

=====

2.
Here is TlIr2Cl at its PBEsol-relaxed geometry from the Alexandria database. Energies are from SCAN.

Properties
E_form (uncorrected), eV per atom: 0.511

Cell and atoms, written as extended XYZ:
```
4
Lattice="-2.4587 0.0884 1.6429 -2.5589 -0.9821 -1.1132 0.2806 -9.2461 3.5811" Properties=species:S:1:pos:R:3 pbc="T T T"
Ir -5.0014 -0.9682 0.5580
Cl -3.4276 -8.1786 3.3013
Ir -1.2676 -2.1531 0.8824
Tl -2.4267 -4.8034 1.9540
```

=====

3.
Here is Sr2Sb2Pb at its PBEsol-relaxed geometry from the Alexandria database. Energies are from SCAN.

Properties
E_form (uncorrected), eV per atom: -0.739

Cell and atoms, written as extended XYZ:
```
10
Lattice="-3.7336 -0.6701 0.6010 1.1655 -8.7824 -2.5515 1.8195 -2.2980 8.7411" Properties=species:S:1:pos:R:3 pbc="T T T"
Sb 1.0632 -6.1747 -0.2794
Sb 2.1805 -8.8876 3.6368
Sb 0.8045 -2.1928 2.5528
Sr 0.4438 -7.9330 6.1834
Sr -0.5388 -3.0368 5.5384
Pb 0.0000 0.0000 0.0000
Pb 1.4925 -5.5402 3.0948
Sr -1.1924 -3.8176 0.6072
Sr -0.2099 -8.7137 1.2522
Sb 1.9218 -4.9057 6.4691
```

=====

4.
Here is TaCr2Os at its PBEsol-relaxed geometry from the Alexandria database. Energies are from SCAN.

Properties
Formation energy, meV per atom: -54

Cell and atoms, written as extended XYZ:
```
4
Lattice="3.0255 0.0000 0.0000 0.0000 4.2774 0.0000 -1.5127 -2.1387 4.2211" Properties=species:S:1:pos:R:3 pbc="T T T"
Cr 1.5127 2.1387 2.0914
Ta 0.0000 2.1387 0.0000
Os 1.5127 0.0000 0.0000
Cr 0.0000 0.0000 2.1297
```

=====

5.
Here is ZrCd2Co at its PBEsol-relaxed geometry from the Alexandria database. Energies are from SCAN.

Properties
Formation energy, meV per atom: -61

Cell and atoms, written as extended XYZ:
```
4
Lattice="4.6125 0.0000 0.0000 2.3062 3.9945 0.0000 2.3062 1.3315 3.7661" Properties=species:S:1:pos:R:3 pbc="T T T"
Cd 0.0000 0.0000 0.0000
Co 4.6125 2.6630 1.8830
Cd 6.9187 3.9945 2.8246
Zr 2.3062 1.3315 0.9415
```

=====

6.
Here is Sr2LaTlS at its PBEsol-relaxed geometry from the Alexandria database. Energies are from SCAN.

Properties
E_form (uncorrected), eV per atom: -0.004

Cell and atoms, written as extended XYZ:
```
5
Lattice="5.2227 0.0000 0.0000 0.0000 6.6853 0.0000 0.0000 0.0000 6.6853" Properties=species:S:1:pos:R:3 pbc="T T T"
S 2.6113 0.0000 0.0000
Tl 2.6113 3.3426 3.3426
Sr 0.0000 3.3426 0.0000
Sr 0.0000 0.0000 3.3426
La 0.0000 0.0000 0.0000
```

=====

7.
Here is Ca3Si at its PBEsol-relaxed geometry from the Alexandria database. Energies are from SCAN.

Properties
E_form (uncorrected), eV per atom: -0.039

Cell and atoms, written as extended XYZ:
```
4
Lattice="-1.7959 -2.7545 -3.5188 4.4424 -0.6902 -1.7270 -0.8548 -2.0465 5.3341" Properties=species:S:1:pos:R:3 pbc="T T T"
Ca 2.4555 -2.2295 0.4921
Ca -0.6637 -3.2617 -0.4038
Ca 1.3233 -1.7223 -2.6229
Si 0.0000 0.0000 0.0000
```

=====

8.
Here is NiHgP2 at its PBEsol-relaxed geometry from the Alexandria database. Energies are from SCAN.

Properties
Formation energy, meV per atom: -54

Cell and atoms, written as extended XYZ:
```
4
Lattice="-0.8453 -2.5899 -1.6240 3.7954 -1.6590 0.6701 -3.1487 -2.0614 4.9263" Properties=species:S:1:pos:R:3 pbc="T T T"
Ni -2.0424 -3.5997 3.7066
Hg -0.8098 -1.4902 2.7979
P -0.4036 -4.6649 4.5522
P 0.2318 -0.4772 0.6403
```

=====

no.,energy (eV/atom)
1,-19.76
2,-55.12
3,-39.71
4,-43.86
5,-27.27
6,-33.93
7,-9.79
8,-26.34